DFT (PBE-GGA) results for a geometry-optimized GePdRh2 structure.

spin magnetization	0.0	μB/f.u.
DFT total energy	-6.310	eV/atom

Cell: 2.867 2.867 8.484 Å, 80.27 80.27 60.00°
Positions (direct):
Ge: 0.000 0.000 0.000
Rh: 0.742 0.742 0.774
Rh: 0.258 0.258 0.226
Pd: 0.500 0.500 0.500